A plane-wave DFT calculation with SCAN was carried out for TcIr3 at its PBEsol-relaxed geometry.

The size of the total moment comes out at 0.00 μB/cell. Its volume is 14.0 A^3/atom. The formation energy is -0.1639 eV per atom.

The space group is Pmmm (No. 47) and the conventional cell measures 2.6945, 3.8348 and 5.4139 Å, with angles of 90.00, 90.00 and 90.00 degrees. The asymmetric unit holds Tc at (0.0000, 0.0000, 0.0000), Ir at (0.0000, 0.0000, 0.5000) and Ir at (0.5000, 0.5000, 0.2471).

A plane-wave DFT calculation with SCAN was carried out for Ga4BiAs3 at its PBEsol-relaxed geometry.

The size of the total moment comes out at 0.00 μB/cell. Its volume is 24.8 A^3/atom. The formation energy is -0.2356 eV per atom.

The space group is P-43m (No. 215) and the conventional cell measures 5.8301, 5.8301 and 5.8301 Å, with angles of 90.00, 90.00 and 90.00 degrees. The asymmetric unit holds Ga at (0.2383, 0.2383, 0.7617), Bi at (0.5000, 0.5000, 0.5000) and As at (0.0000, 0.0000, 0.5000).

A plane-wave DFT calculation with SCAN was carried out for YZnCd at its PBEsol-relaxed geometry.

The size of the total moment comes out at 0.00 μB/cell. Its volume is 21.3 A^3/atom. The formation energy is -0.4575 eV per atom.

The space group is P-6m2 (No. 187) and the conventional cell measures 4.6344, 4.6344 and 3.4365 Å, with angles of 90.00, 90.00 and 120.00 degrees. The asymmetric unit holds Y at (0.0000, 0.0000, 0.0000), Zn at (0.3333, 0.6667, 0.5000) and Cd at (0.6667, 0.3333, 0.5000).

A plane-wave DFT calculation with SCAN was carried out for SrBe2Pt at its PBEsol-relaxed geometry.

The size of the total moment comes out at 0.00 μB/cell. Its volume is 16.5 A^3/atom. The offset from the most stable computed form is 0.548 eV per atom. The formation energy is -0.1210 eV per atom.

The space group is P4mm (No. 99) and the conventional cell measures 3.0904, 3.0904 and 6.9003 Å, with angles of 90.00, 90.00 and 90.00 degrees. The asymmetric unit holds Sr at (0.0000, 0.0000, 0.0000), Be at (0.0000, 0.0000, 0.5201), Be at (0.5000, 0.5000, 0.3407) and Pt at (0.5000, 0.5000, 0.6622).

A plane-wave DFT calculation with SCAN was carried out for LaZn2Cd2 at its PBEsol-relaxed geometry.

The size of the total moment comes out at 0.00 μB/cell. Its volume is 21.9 A^3/atom. The formation energy is -0.3078 eV per atom.

The space group is I4/mmm (No. 139) and the conventional cell measures 4.5479, 4.5479 and 10.5960 Å, with angles of 90.00, 90.00 and 90.00 degrees. The asymmetric unit holds La at (0.0000, 0.0000, 0.0000), Zn at (0.0000, 0.5000, 0.2500) and Cd at (0.0000, 0.0000, 0.3740).

A plane-wave DFT calculation with SCAN was carried out for LiP2Au at its PBEsol-relaxed geometry.

The size of the total moment comes out at 0.00 μB/cell. Its volume is 17.1 A^3/atom. The offset from the most stable computed form is 0.000 eV per atom. The formation energy is -0.4402 eV per atom.

The space group is Cc (No. 9) and the conventional cell measures 6.3450, 9.4655 and 5.3474 Å, with angles of 90.00, 121.59 and 90.00 degrees. The asymmetric unit holds Li at (0.0000, 0.1914, 0.0000), P at (0.3172, 0.1088, 0.6726), P at (0.4429, 0.1043, 0.1399) and Au at (0.3803, 0.4084, 0.9155).

A plane-wave DFT calculation with SCAN was carried out for Tl2InP at its PBEsol-relaxed geometry.

The size of the total moment comes out at 0.00 μB/cell. Its volume is 24.3 A^3/atom. The offset from the most stable computed form is 0.173 eV per atom. The formation energy is 0.3074 eV per atom.

The space group is F-43m (No. 216) and the conventional cell measures 7.3016, 7.3016 and 7.3016 Å, with angles of 90.00, 90.00 and 90.00 degrees. The asymmetric unit holds Tl at (0.0000, 0.0000, 0.0000), Tl at (0.2500, 0.2500, 0.2500), In at (0.2500, 0.2500, 0.7500) and P at (0.0000, 0.0000, 0.5000).

A plane-wave DFT calculation with SCAN was carried out for Ti3AlF at its PBEsol-relaxed geometry.

The size of the total moment comes out at 1.86 μB/cell. Its volume is 14.2 A^3/atom. The offset from the most stable computed form is 0.000 eV per atom. Its uncorrected formation energy is -0.762 eV/atom.

The space group is Pm-3m (No. 221) and the conventional cell measures 4.1363, 4.1363 and 4.1363 Å, with angles of 90.00, 90.00 and 90.00 degrees. The asymmetric unit holds Ti at (0.0000, 0.0000, 0.5000), Al at (0.5000, 0.5000, 0.5000) and F at (0.0000, 0.0000, 0.0000).

A plane-wave DFT calculation with SCAN was carried out for MgZn2Ni at its PBEsol-relaxed geometry.

The size of the total moment comes out at 0.00 μB/cell. Its volume is 13.8 A^3/atom. The formation energy is -0.1125 eV per atom.

The space group is P2/m (No. 10) and the conventional cell measures 2.6925, 4.1071 and 5.1582 Å, with angles of 90.00, 104.05 and 90.00 degrees. The asymmetric unit holds Mg at (0.0000, 0.0000, 0.0000), Zn at (0.3126, 0.5000, 0.7249) and Ni at (0.5000, 0.0000, 0.5000).

A plane-wave DFT calculation with SCAN was carried out for BaMn2Zn at its PBEsol-relaxed geometry.

The size of the total moment comes out at 24.18 μB/cell. Its volume is 23.9 A^3/atom. The formation energy is 0.0719 eV per atom.

The space group is R3m (No. 160, hexagonal axes) and the conventional cell measures 4.3657, 4.3657 and 17.4105 Å, with angles of 90.00, 90.00 and 120.00 degrees. The asymmetric unit holds Ba at (0.0000, 0.0000, 0.0000), Mn at (0.0000, 0.0000, 0.1928), Mn at (0.0000, 0.0000, 0.4810) and Zn at (0.0000, 0.0000, 0.8102).

A plane-wave DFT calculation with SCAN was carried out for MgTa4Cu at its PBEsol-relaxed geometry.

The size of the total moment comes out at 0.00 μB/cell. Its volume is 18.5 A^3/atom. The formation energy is 0.5624 eV per atom.

The space group is F-43m (No. 216) and the conventional cell measures 7.6233, 7.6233 and 7.6233 Å, with angles of 90.00, 90.00 and 90.00 degrees. The asymmetric unit holds Mg at (0.0000, 0.0000, 0.0000), Ta at (0.1258, 0.1258, 0.6258) and Cu at (0.2500, 0.2500, 0.2500).

A plane-wave DFT calculation with SCAN was carried out for HgCN2F at its PBEsol-relaxed geometry.

The size of the total moment comes out at 0.00 μB/cell. Its volume is 11.1 A^3/atom. Its uncorrected formation energy is 1.602 eV/atom.

The space group is P4/mmm (No. 123) and the conventional cell measures 3.1574, 3.1574 and 5.5898 Å, with angles of 90.00, 90.00 and 90.00 degrees. The asymmetric unit holds Hg at (0.0000, 0.0000, 0.0000), C at (0.5000, 0.5000, 0.5000), N at (0.0000, 0.5000, 0.5000) and F at (0.5000, 0.5000, 0.0000).

A plane-wave DFT calculation with SCAN was carried out for ZrHgIr3 at its PBEsol-relaxed geometry.

The size of the total moment comes out at 0.00 μB/cell. Its volume is 21.9 A^3/atom. The formation energy is 1.7055 eV per atom.

The space group is Pm-3m (No. 221) and the conventional cell measures 4.7805, 4.7805 and 4.7805 Å, with angles of 90.00, 90.00 and 90.00 degrees. The asymmetric unit holds Zr at (0.0000, 0.0000, 0.0000), Hg at (0.5000, 0.5000, 0.5000) and Ir at (0.0000, 0.0000, 0.5000).

A plane-wave DFT calculation with SCAN was carried out for In3AgH at its PBEsol-relaxed geometry.

The size of the total moment comes out at 0.00 μB/cell. Its volume is 19.1 A^3/atom. For the calculated total energy, the calculation gives -26.66 eV/atom.

The space group is Pm-3m (No. 221) and the conventional cell measures 4.5681, 4.5681 and 4.5681 Å, with angles of 90.00, 90.00 and 90.00 degrees. The asymmetric unit holds In at (0.0000, 0.0000, 0.5000), Ag at (0.5000, 0.5000, 0.5000) and H at (0.0000, 0.0000, 0.0000).

A plane-wave DFT calculation with SCAN was carried out for TbGePd2 at its PBEsol-relaxed geometry.

The size of the total moment comes out at 0.00 μB/cell. Its volume is 17.8 A^3/atom. The formation energy is -1.0198 eV per atom.

The space group is Pnma (No. 62) and the conventional cell measures 7.3316, 7.0128 and 5.5269 Å, with angles of 90.00, 90.00 and 90.00 degrees. The asymmetric unit holds Tb at (0.0297, 0.2500, 0.1443), Ge at (0.1192, 0.7500, 0.3552) and Pd at (0.1810, 0.0518, 0.5881).

A plane-wave DFT calculation with SCAN was carried out for Sr2LiAs at its PBEsol-relaxed geometry.

The size of the total moment comes out at 0.03 μB/cell. Its volume is 29.5 A^3/atom. The formation energy is -0.7798 eV per atom.

The space group is Amm2 (No. 38) and the conventional cell measures 4.4671, 4.4340 and 11.9163 Å, with angles of 90.00, 90.00 and 90.00 degrees. The asymmetric unit holds Sr at (0.0000, 0.0000, 0.0000), Sr at (0.5000, 0.0000, 0.2821), Li at (0.0000, 0.0000, 0.6847) and As at (0.5000, 0.0000, 0.5681).

A plane-wave DFT calculation with SCAN was carried out for LiZr2Pb at its PBEsol-relaxed geometry.

The size of the total moment comes out at 0.00 μB/cell. Its volume is 20.7 A^3/atom. The formation energy is -0.1251 eV per atom.

The space group is Pmmm (No. 47) and the conventional cell measures 3.3384, 4.1554 and 5.9650 Å, with angles of 90.00, 90.00 and 90.00 degrees. The asymmetric unit holds Li at (0.0000, 0.0000, 0.0000), Zr at (0.5000, 0.5000, 0.2407) and Pb at (0.0000, 0.0000, 0.5000).

A plane-wave DFT calculation with SCAN was carried out for K2Ge2Pb2O7 at its PBEsol-relaxed geometry.

The size of the total moment comes out at 0.00 μB/cell. Its volume is 17.6 A^3/atom. Its uncorrected formation energy is -1.725 eV/atom.

The space group is P-3 (No. 147) and the conventional cell measures 5.7589, 5.7589 and 7.9629 Å, with angles of 90.00, 90.00 and 120.00 degrees. The asymmetric unit holds K at (0.3333, 0.6667, 0.0723), Ge at (0.0000, 0.0000, 0.2753), Pb at (0.3333, 0.6667, 0.6174), O at (0.0000, 0.0000, 0.5000) and O at (0.1029, 0.7750, 0.7910).

A plane-wave DFT calculation with SCAN was carried out for Cr2CdRu at its PBEsol-relaxed geometry.

The size of the total moment comes out at 0.00 μB/cell. Its volume is 13.7 A^3/atom. The formation energy is 0.5464 eV per atom.

The space group is Immm (No. 71) and the conventional cell measures 3.0234, 4.2822 and 8.4961 Å, with angles of 90.00, 90.00 and 90.00 degrees. The asymmetric unit holds Cr at (0.0000, 0.0000, 0.2342), Cd at (0.0000, 0.5000, 0.0000) and Ru at (0.0000, 0.5000, 0.5000).

A plane-wave DFT calculation with SCAN was carried out for CrTe2OsI at its PBEsol-relaxed geometry.

The size of the total moment comes out at 4.03 μB/cell. Its volume is 29.1 A^3/atom. Its uncorrected formation energy is 0.842 eV/atom.

The space group is P4/mmm (No. 123) and the conventional cell measures 5.0758, 5.0758 and 5.6519 Å, with angles of 90.00, 90.00 and 90.00 degrees. The asymmetric unit holds Cr at (0.0000, 0.0000, 0.0000), Te at (0.0000, 0.5000, 0.5000), Os at (0.5000, 0.5000, 0.5000) and I at (0.5000, 0.5000, 0.0000).

A plane-wave DFT calculation with SCAN was carried out for Zn2FeBr at its PBEsol-relaxed geometry.

The size of the total moment comes out at 9.05 μB/cell. Its volume is 16.6 A^3/atom. The offset from the most stable computed form is 0.630 eV per atom. Its uncorrected formation energy is 0.821 eV/atom.

The space group is Fm-3m (No. 225) and the conventional cell measures 6.4267, 6.4267 and 6.4267 Å, with angles of 90.00, 90.00 and 90.00 degrees. The asymmetric unit holds Zn at (0.2500, 0.2500, 0.2500), Fe at (0.0000, 0.0000, 0.0000) and Br at (0.0000, 0.0000, 0.5000).

A plane-wave DFT calculation with SCAN was carried out for Cr2HN at its PBEsol-relaxed geometry.

The size of the total moment comes out at 0.00 μB/cell. Its volume is 7.2 A^3/atom. The offset from the most stable computed form is 0.529 eV per atom.

The space group is Fm-3m (No. 225) and the conventional cell measures 4.8721, 4.8721 and 4.8721 Å, with angles of 90.00, 90.00 and 90.00 degrees. The asymmetric unit holds Cr at (0.2500, 0.2500, 0.2500), H at (0.0000, 0.0000, 0.0000) and N at (0.0000, 0.0000, 0.5000).

A plane-wave DFT calculation with SCAN was carried out for CuHgSCl at its PBEsol-relaxed geometry.

The size of the total moment comes out at 0.00 μB/cell. Its volume is 22.1 A^3/atom. The offset from the most stable computed form is 0.007 eV per atom. Its uncorrected formation energy is -0.419 eV/atom.

The space group is Pmma (No. 51) and the conventional cell measures 9.7338, 3.9946 and 9.0900 Å, with angles of 90.00, 90.00 and 90.00 degrees. The asymmetric unit holds Cu at (0.0925, 0.0000, 0.2114), Hg at (0.0000, 0.5000, 0.5000), Hg at (0.2500, 0.5000, 0.7894), S at (0.0047, 0.5000, 0.7625), Cl at (0.2500, 0.0000, 0.0234) and Cl at (0.2500, 0.0000, 0.4282).

A plane-wave DFT calculation with SCAN was carried out for MnBPd2 at its PBEsol-relaxed geometry.

The size of the total moment comes out at 17.49 μB/cell. Its volume is 13.3 A^3/atom. The formation energy is -0.2017 eV per atom.

The space group is I-42d (No. 122) and the conventional cell measures 6.5905, 6.5905 and 4.8944 Å, with angles of 90.00, 90.00 and 90.00 degrees. The asymmetric unit holds Mn at (0.0000, 0.0000, 0.0000), B at (0.0000, 0.0000, 0.5000) and Pd at (0.1566, 0.2500, 0.6250).

A plane-wave DFT calculation with SCAN was carried out for Co2AgTe at its PBEsol-relaxed geometry.

The size of the total moment comes out at 10.90 μB/cell. Its volume is 15.6 A^3/atom. Its uncorrected formation energy is 0.660 eV/atom.

The space group is I-42d (No. 122) and the conventional cell measures 6.7940, 6.7940 and 5.4051 Å, with angles of 90.00, 90.00 and 90.00 degrees. The asymmetric unit holds Co at (0.2266, 0.7500, 0.1250), Ag at (0.0000, 0.0000, 0.5000) and Te at (0.0000, 0.0000, 0.0000).

A plane-wave DFT calculation with SCAN was carried out for TaCr2Ag at its PBEsol-relaxed geometry.

The size of the total moment comes out at 0.00 μB/cell. Its volume is 14.6 A^3/atom. The offset from the most stable computed form is 0.129 eV per atom. The formation energy is 0.4665 eV per atom.

The space group is R3m (No. 160, hexagonal axes) and the conventional cell measures 2.7858, 2.7858 and 26.1086 Å, with angles of 90.00, 90.00 and 120.00 degrees. The asymmetric unit holds Ta at (0.0000, 0.0000, 0.0000), Cr at (0.0000, 0.0000, 0.2439), Cr at (0.0000, 0.0000, 0.5177) and Ag at (0.0000, 0.0000, 0.7621).

A plane-wave DFT calculation with SCAN was carried out for SrLaBe2Se at its PBEsol-relaxed geometry.

The size of the total moment comes out at 0.00 μB/cell. Its volume is 29.8 A^3/atom. Its uncorrected formation energy is 0.333 eV/atom.

The space group is P4/mmm (No. 123) and the conventional cell measures 5.1484, 5.1484 and 5.6188 Å, with angles of 90.00, 90.00 and 90.00 degrees. The asymmetric unit holds Sr at (0.0000, 0.0000, 0.0000), La at (0.5000, 0.5000, 0.5000), Be at (0.0000, 0.5000, 0.5000) and Se at (0.5000, 0.5000, 0.0000).